No. 1
Compound: YCdCo2
Source: the Alexandria database
Functional: PBE-GGA
Structure: optimized geometry

## Properties
- E: -21.125 eV per cell
- Space group: P4/mmm (123)

Cell and atoms, written as POSCAR:
```
YCdCo2
1.0
7.103 0.022 0.046
-2.703 3.437 0.006
1.698 1.329 2.750
Cd Co Y
1 2 1
direct
0.500 0.500 0.000 Cd
0.000 0.000 0.000 Co
0.500 0.000 0.500 Co
0.000 0.500 0.500 Y
```

---

No. 2
Compound: YCd2Co
Source: the Alexandria database
Functional: PBE-GGA
Structure: optimized geometry

## Properties
- E: -14.250 eV per cell
- Space group: R-3m (166)

Cell and atoms, written as POSCAR:
```
YCd2Co
1.0
-7.574 4.395 4.102
-8.969 3.333 1.399
-8.716 1.386 3.953
Cd Co Y
2 1 1
direct
0.987 0.987 0.987 Cd
0.513 0.513 0.513 Cd
0.250 0.250 0.250 Co
0.750 0.750 0.750 Y
```

---

No. 3
Compound: YCdCo2
Source: the Alexandria database
Functional: PBE-GGA
Structure: optimized geometry

## Properties
- E: -39.829 eV per cell
- Space group: I-42d (122)

Cell and atoms, written as POSCAR:
```
YCdCo2
1.0
-0.220 -2.572 -3.407
-1.339 -3.197 2.500
-9.361 -0.351 -1.811
Y Co Cd
2 4 2
direct
0.500 0.500 0.000 Y
0.250 0.750 0.500 Y
0.772 0.125 0.250 Co
0.978 0.625 0.250 Co
0.375 0.228 0.750 Co
0.875 0.022 0.750 Co
0.000 0.000 0.000 Cd
0.750 0.250 0.500 Cd
```

---

No. 4
Compound: Y6Cd2Co
Source: the Alexandria database
Functional: PBE-GGA
Structure: optimized geometry

## Properties
- E: -98.154 eV per cell
- Space group: P2_1/c (14)

Cell and atoms, written as POSCAR:
```
Y6Cd2Co
1.0
-4.994 -3.823 3.575
-2.450 -2.615 -6.218
6.371 -7.482 0.636
Y Cd Co
12 4 2
direct
0.925 0.000 0.247 Y
0.751 0.747 0.541 Y
0.752 0.750 0.959 Y
0.748 0.250 0.541 Y
0.749 0.247 0.959 Y
0.575 0.500 0.253 Y
0.075 0.000 0.753 Y
0.249 0.253 0.459 Y
0.248 0.250 0.041 Y
0.252 0.750 0.459 Y
0.251 0.753 0.041 Y
0.425 0.500 0.747 Y
0.999 0.498 0.755 Cd
0.501 0.998 0.745 Cd
0.499 0.002 0.255 Cd
0.001 0.502 0.245 Cd
0.500 0.500 0.000 Co
0.000 0.000 0.500 Co
```

---

No. 5
Compound: Y2ZnCdCo
Source: the Alexandria database
Functional: PBE-GGA
Structure: optimized geometry

## Properties
- E: -22.756 eV per cell
- Space group: P4/mmm (123)

Cell and atoms, written as POSCAR:
```
Y2ZnCdCo
1.0
5.071 0.000 0.000
0.000 5.071 0.000
0.000 0.000 4.704
Y Zn Co Cd
2 1 1 1
direct
0.000 0.500 0.000 Y
0.500 0.000 0.000 Y
0.000 0.000 0.500 Zn
0.000 0.000 0.000 Co
0.500 0.500 0.500 Cd
```

---

No. 6
Compound: Zn2CdCo
Source: the Alexandria database
Functional: PBE-GGA
Structure: optimized geometry

## Properties
- E: -9.860 eV per cell
- Space group: Cmmm (65)

Cell and atoms, written as POSCAR:
```
Zn2CdCo
1.0
4.808 -0.015 0.000
-1.654 4.515 0.000
0.000 0.000 2.786
Cd Co Zn
1 1 2
direct
0.500 0.000 0.500 Cd
0.000 0.500 0.500 Co
0.000 0.000 0.000 Zn
0.500 0.500 0.000 Zn
```

---

No. 7
Compound: Zn2Cd2Co
Source: the Alexandria database
Functional: PBE-GGA
Structure: optimized geometry

## Properties
- E: -20.163 eV per cell
- Space group: P4/mbm (127)

Cell and atoms, written as POSCAR:
```
Zn2Cd2Co
1.0
6.375 0.000 0.000
0.000 6.375 0.000
0.000 0.000 4.272
Zn Co Cd
4 2 4
direct
0.358 0.858 0.000 Zn
0.858 0.642 0.000 Zn
0.642 0.142 0.000 Zn
0.142 0.358 0.000 Zn
0.000 0.000 0.000 Co
0.500 0.500 0.000 Co
0.176 0.676 0.500 Cd
0.676 0.824 0.500 Cd
0.824 0.324 0.500 Cd
0.324 0.176 0.500 Cd
```

---

No. 8
Compound: ZnCdCo3
Source: the Alexandria database
Functional: PBE-GGA
Structure: optimized geometry

## Properties
- Relative energy among the computed polymorphs: 0.000 eV/atom
- E: -18.336 eV per cell
- Space group: Pm-3m (221)

Cell and atoms, written as POSCAR:
```
ZnCdCo3
1.0
4.376 0.000 0.000
0.000 4.376 0.000
0.000 0.000 4.376
Zn Co Cd
1 3 1
direct
0.000 0.000 0.000 Zn
0.000 0.500 0.000 Co
0.000 0.000 0.500 Co
0.500 0.000 0.000 Co
0.500 0.500 0.500 Cd
```

---

No. 9
Compound: Zn2CdCo2
Source: the Alexandria database
Functional: PBE-GGA
Structure: optimized geometry

## Properties
- Relative energy among the computed polymorphs: 0.148 eV/atom
- E: -16.253 eV per cell
- Space group: I4/mmm (139)

Cell and atoms, written as POSCAR:
```
Zn2CdCo2
1.0
-2.500 1.894 1.525
-2.400 -1.566 -1.989
-3.168 -4.334 4.177
Zn Co Cd
2 2 1
direct
0.392 0.392 0.215 Zn
0.608 0.608 0.785 Zn
0.750 0.250 0.500 Co
0.250 0.750 0.500 Co
0.000 0.000 0.000 Cd
```

---

No. 10
Compound: Zn2CdCo
Source: the Alexandria database
Functional: PBE-GGA
Structure: optimized geometry

## Properties
- E: -10.340 eV per cell
- Space group: P4/mmm (123)

Cell and atoms, written as POSCAR:
```
Zn2CdCo
1.0
2.935 0.000 0.000
0.000 2.934 0.000
0.000 0.000 7.041
Cd Co Zn
1 1 2
direct
0.500 0.500 0.250 Cd
0.500 0.500 0.750 Co
0.000 0.000 0.947 Zn
0.000 0.000 0.553 Zn
```

---

No. 11
Compound: ZnCd3Co
Source: the Alexandria database
Functional: PBE-GGA
Structure: optimized geometry

## Properties
- Relative energy among the computed polymorphs: 0.000 eV/atom
- E: -8.551 eV per cell
- Space group: Pm-3m (221)

Cell and atoms, written as POSCAR:
```
ZnCd3Co
1.0
4.985 0.000 0.000
0.000 4.985 0.000
0.000 0.000 4.985
Zn Co Cd
1 1 3
direct
0.500 0.500 0.500 Zn
0.000 0.000 0.000 Co
0.000 0.500 0.000 Cd
0.000 0.000 0.500 Cd
0.500 0.000 0.000 Cd
```

---

No. 12
Compound: Zn2CdCo
Source: the Alexandria database
Functional: PBE-GGA
Structure: optimized geometry

## Properties
- E: -10.038 eV per cell
- Space group: R-3m (166)

Cell and atoms, written as POSCAR:
```
Zn2CdCo
1.0
9.422 0.031 0.018
8.996 2.801 0.018
8.996 1.383 2.435
Cd Co Zn
1 1 2
direct
0.250 0.250 0.250 Cd
0.750 0.750 0.750 Co
0.014 0.014 0.014 Zn
0.486 0.486 0.486 Zn
```

---

The highest E belongs to which entry? ZnCd3Co

---

Among the records above, which one has the lowest E? Y6Cd2Co